(1)
{
  "formula": "Ho2LuBe",
  "functional": "GGA-PBE",
  "state": "optimized geometry",
  "space_group": "R-3m, No. 166",
  "m_tot_mub_per_fu": 0.0,
  "final_energy_ev_per_cell": -14.72,
  "e_form_ev_per_atom": 0.6713,
  "e_above_lowest_polymorph_mev_per_atom": 605,
  "dos_at_fermi_per_ev_cell": 3.4,
  "lattice": [[1.689, 0.975, 11.280], [-1.689, 0.975, 11.280], [0.000, -1.950, 11.280]],
  "species": ["Ho", "Ho", "Lu", "Be"],
  "frac_coords": [[0.085, 0.085, 0.085], [0.915, 0.915, 0.915], [0.500, 0.500, 0.500], [0.000, 0.000, 0.000]]
}

(2)
{
  "formula": "Y4InRh",
  "functional": "GGA-PBE",
  "state": "optimized geometry",
  "space_group": "F-43m, No. 216",
  "m_tot_mub_per_fu": 0.0,
  "final_energy_ev_per_cell": -33.63,
  "e_form_ev_per_atom": 0.3867,
  "e_above_lowest_polymorph_mev_per_atom": 946,
  "dos_at_fermi_per_ev_cell": 6.0,
  "lattice": [[0.000, 4.309, 4.309], [4.309, 0.000, 4.309], [4.309, 4.309, 0.000]],
  "species": ["Y", "Y", "Y", "Y", "In", "Rh"],
  "frac_coords": [[0.376, 0.376, 0.376], [0.376, 0.376, 0.873], [0.376, 0.873, 0.376], [0.873, 0.376, 0.376], [0.000, 0.000, 0.000], [0.750, 0.750, 0.750]]
}

(3)
{
  "formula": "Pm2DyAs",
  "functional": "GGA-PBE",
  "state": "optimized geometry",
  "space_group": "P4/mmm, No. 123",
  "m_tot_mub_per_fu": 0.0,
  "final_energy_ev_per_cell": -20.86,
  "e_form_ev_per_atom": -0.5261,
  "e_above_lowest_polymorph_mev_per_atom": 34,
  "dos_at_fermi_per_ev_cell": 5.6,
  "lattice": [[3.829, 0.000, 0.000], [0.000, 3.829, 0.000], [0.000, 0.000, 7.800]],
  "species": ["Pm", "Pm", "Dy", "As"],
  "frac_coords": [[0.000, 0.000, 0.203], [0.000, 0.000, 0.797], [0.500, 0.500, 0.500], [0.500, 0.500, 0.000]]
}

(4)
{
  "formula": "NdAsS3",
  "functional": "GGA-PBE",
  "state": "optimized geometry",
  "space_group": "P2_1/c, No. 14",
  "e_form_raw_ev_per_atom": -0.937,
  "m_tot_mub_per_fu": 0.0,
  "final_energy_ev_per_cell": -105.93,
  "e_above_lowest_polymorph_mev_per_atom": 76,
  "lattice": [[7.196, 0.000, 0.000], [0.000, 7.165, 0.000], [-5.281, 0.000, 9.460]],
  "species": ["Nd", "Nd", "Nd", "Nd", "As", "As", "As", "As", "S", "S", "S", "S", "S", "S", "S", "S", "S", "S", "S", "S"],
  "frac_coords": [[0.183, 0.163, 0.228], [0.183, 0.337, 0.728], [0.817, 0.663, 0.272], [0.817, 0.837, 0.772], [0.191, 0.565, 0.101], [0.191, 0.935, 0.601], [0.809, 0.065, 0.399], [0.809, 0.435, 0.899], [0.026, 0.182, 0.911], [0.026, 0.318, 0.411], [0.260, 0.664, 0.931], [0.260, 0.836, 0.431], [0.480, 0.510, 0.308], [0.480, 0.990, 0.808], [0.520, 0.010, 0.192], [0.520, 0.490, 0.692], [0.740, 0.164, 0.569], [0.740, 0.336, 0.069], [0.974, 0.682, 0.589], [0.974, 0.818, 0.089]]
}